The following is a DFT calculation (PBE-GGA) of a relaxed SnAsPbCl2 crystal.

Cell: 5.309 5.309 6.321 Å, 90.00 90.00 90.00°
Fractional coordinates of all 5 atoms:
Sn (0.000, 0.000, 0.000)
As (0.500, 0.500, 0.000)
Pb (0.000, 0.000, 0.500)
Cl (0.000, 0.500, 0.500)
Cl (0.500, 0.000, 0.500)

space group: No. 123
formation energy (no corrections): 0.152 eV per atom

=====

The following is a DFT calculation (PBE-GGA) of a relaxed MnFeBP crystal.

Cell: 3.353 4.086 4.086 Å, 43.30 90.00 90.00°
Fractional coordinates of all 4 atoms:
Mn (0.000, 0.000, 0.000)
Fe (0.500, 0.728, 0.728)
B (0.500, 0.453, 0.453)
P (0.000, 0.285, 0.285)

E_form: -242 meV/atom
space group: No. 38
ΔE to the lowest computed polymorph: 6.4 kJ/mol of atoms

=====

Respective calculated volume values: 35.629; 9.600 A^3/atom.